Record 1
Entry from Alexandria: a geometry-optimized KC7 structure (GGA-PBEsol).

Lattice parameters (Å, degrees): 4.7515 4.7515 4.7515 60.00 60.00 60.00
Sites, in units of the cell vectors:
K (0.0000, 0.0000, 0.0000)
C (0.0000, 0.0000, 0.5000)
C (0.0000, 0.5000, 0.0000)
C (0.0000, 0.5000, 0.5000)
C (0.5000, 0.0000, 0.0000)
C (0.5000, 0.0000, 0.5000)
C (0.5000, 0.5000, 0.0000)
C (0.5000, 0.5000, 0.5000)

## Properties
Formation energy from the elements ... 4456 meV per atom
Symmetry ... Fm-3m
DOS(E_F) ... 0.462 states/eV per atom

Record 2
Entry from Alexandria: a geometry-optimized NaZr3Pt structure (GGA-PBEsol).

Lattice parameters (Å, degrees): 4.7598 4.7598 4.7598 90.00 90.00 90.00
Sites, in units of the cell vectors:
Na (0.0000, 0.0000, 0.0000)
Zr (0.0000, 0.0000, 0.5000)
Zr (0.0000, 0.5000, 0.0000)
Zr (0.5000, 0.0000, 0.0000)
Pt (0.5000, 0.5000, 0.5000)

## Properties
Formation energy from the elements ... 1482 meV per atom
Symmetry ... Pm-3m
DOS(E_F) ... 1.365 states/eV per atom

Record 3
Entry from Alexandria: a geometry-optimized CoMo2Ir structure (GGA-PBEsol).

Lattice parameters (Å, degrees): 4.6828 4.6828 4.5736 100.12 100.12 33.72
Sites, in units of the cell vectors:
Co (0.0000, 0.0000, 0.0000)
Mo (0.2532, 0.2532, 0.7553)
Mo (0.7468, 0.7468, 0.2447)
Ir (0.5000, 0.5000, 0.5000)

## Properties
Formation energy from the elements ... 52 meV per atom
Polymorph energy (0 for the lowest one) ... 206 meV/atom
Symmetry ... C2/m
DOS(E_F) ... 1.020 states/eV per atom

Question: What is the formula in the third record?
Answer: CoMo2Ir

Question: Number 1 is which compound?
Answer: KC7